Entry 1:
## CeTiZnPt2 (PBE)

Data for a geometry-optimized CeTiZnPt2 structure.

Results
ρ   10.97 g/cm³
Crystal system   tetragonal

abc: 3.9952 3.9952 12.2048
angles: 90.00 90.00 90.00
Closest atoms and distances in Å follow each position.
Space group I-4m2 (No. 119)
Asymmetric unit:
Ce: 0.0000 0.0000 0.0000 [2 per cell]  8 Pt 3.13
Ti: 0.0000 0.5000 0.7500 [2 per cell]  4 Pt 2.62, 4 Zn 2.83
Zn: 0.0000 0.5000 0.2500 [2 per cell]  4 Pt 2.62, 4 Ti 2.83
Pt: 0.0000 0.0000 0.3890 [4 per cell]  2 Ti 2.62, 2 Zn 2.62, 1 Pt 2.71

***

Entry 2:
## AcNi3H3 (PBE)

Data for a geometry-optimized AcNi3H3 structure.

Results
ρ   8.04 g/cm³
Crystal system   hexagonal

abc: 6.8411 6.8411 4.1397
angles: 90.00 90.00 120.00
Closest atoms and distances in Å follow each position.
Space group P6_3/m (No. 176)
Asymmetric unit:
Ac: 0.3333 0.6667 0.2500 [2 per cell]  9 H 2.55-2.63
Ni: 0.0736 0.2288 0.7500 [6 per cell]  1 H 1.56
H: 0.1002 0.4691 0.7500 [6 per cell]  1 Ni 1.56

***

Entry 3:
## SrLi2Ca (PBE)

Data for a geometry-optimized SrLi2Ca structure.

Results
ρ   1.46 g/cm³
Crystal system   orthorhombic

abc: 3.7127 6.4576 13.4324
angles: 90.00 90.00 90.00
Closest atoms and distances in Å follow each position.
Space group Immm (No. 71)
Asymmetric unit:
Sr: 0.0000 0.0000 0.0000 [2 per cell]  2 Li 3.45, 2 Sr 3.71, 4 Ca 3.72
Li: 0.0000 0.0000 0.2568 [4 per cell]  1 Ca 3.27, 1 Sr 3.45
Ca: 0.0000 0.0000 0.5000 [2 per cell]  2 Li 3.27

***

Entry 4:
## Tc2HIrRu (PBE)

Data for a geometry-optimized Tc2HIrRu structure.

Results
ρ   13.66 g/cm³
Crystal system   tetragonal

abc: 3.9096 3.9096 3.8980
angles: 90.00 90.00 90.00
Closest atoms and distances in Å follow each position.
Space group P4/mmm (No. 123)
Asymmetric unit:
Tc: 0.0000 0.5000 0.0000 [2 per cell]  2 H 1.95
H: 0.0000 0.0000 0.0000 [1 per cell]  2 Ir 1.95, 4 Tc 1.95
Ir: 0.0000 0.0000 0.5000 [1 per cell]  2 H 1.95
Ru: 0.5000 0.5000 0.5000 [1 per cell]  8 Tc 2.76, 4 Ir 2.76

***

Number 1: energy -62.59 eV/cell. Number 2: energy -66.75 eV/cell. Number 3: energy -12.37 eV/cell. Number 4: energy -42.16 eV/cell.